Crystalline Y5P4Se at its relaxed geometry, computed with PBE-GGA.

Lattice parameters (Å, degrees): 4.0236 5.6947 10.6796 105.46 100.86 90.00
Fractional coordinates of all 10 atoms:
Se  0.0000  0.0000  0.0000
P  0.5990  0.5990  0.1981
P  0.7988  0.7988  0.5976
Y  0.0000  0.5000  0.0000
Y  0.6075  0.1075  0.2151
Y  0.1992  0.6992  0.3985
Y  0.3925  0.8925  0.7849
P  0.4010  0.4010  0.8019
P  0.2012  0.2012  0.4024
Y  0.8008  0.3008  0.6015

Fermi-level density of states = 2.51 states/eV/cell
Total magnetic moment = 0.000 μB/f.u.
Uncorrected formation energy = -1.715 eV/atom
Crystal system = orthorhombic